[1]
The following is a GGA-PBEsol calculation of TaPdSe2N after structural relaxation, from Alexandria via LeMat-Bulk.

Cell: 4.9994 4.9994 3.5823 Å, 90.00 90.00 90.00°
Space group P4/mmm (No. 123)
Inequivalent atoms, fractional coordinates:
1 Ta 0.0000 0.0000 0.0000 x1
2 Pd 0.5000 0.5000 0.5000 x1
3 Se 0.0000 0.5000 0.5000 x2
4 N 0.5000 0.5000 0.0000 x1



[2]
The following is a GGA-PBEsol calculation of YPdSeN2 after structural relaxation, from Alexandria via LeMat-Bulk.

Cell: 4.3029 4.3029 5.6145 Å, 90.00 90.00 90.00°
Space group P4/mmm (No. 123)
Inequivalent atoms, fractional coordinates:
1 Y 0.0000 0.0000 0.0000 x1
2 Pd 0.5000 0.5000 0.5000 x1
3 Se 0.0000 0.0000 0.5000 x1
4 N 0.0000 0.5000 0.0000 x2



[3]
The following is a GGA-PBEsol calculation of ZrPdSe2N after structural relaxation, from Alexandria via LeMat-Bulk.

Cell: 5.2320 5.2320 3.8508 Å, 90.00 90.00 90.00°
Space group P4/mmm (No. 123)
Inequivalent atoms, fractional coordinates:
1 Zr 0.0000 0.0000 0.0000 x1
2 Pd 0.5000 0.5000 0.5000 x1
3 Se 0.0000 0.5000 0.0000 x2
4 N 0.0000 0.0000 0.5000 x1



[4]
The following is a GGA-PBEsol calculation of SiPdN3 after structural relaxation, from Alexandria via LeMat-Bulk.

Cell: 3.5828 3.5828 3.5828 Å, 90.00 90.00 90.00°
Space group Pm-3m (No. 221)
Inequivalent atoms, fractional coordinates:
1 Si 0.0000 0.0000 0.0000 x1
2 Pd 0.5000 0.5000 0.5000 x1
3 N 0.0000 0.0000 0.5000 x3



[5]
The following is a GGA-PBEsol calculation of SiPd3N after structural relaxation, from Alexandria via LeMat-Bulk.

Cell: 4.4264 4.4264 4.4264 Å, 90.00 90.00 90.00°
Space group Pm-3m (No. 221)
Inequivalent atoms, fractional coordinates:
1 Si 0.0000 0.0000 0.0000 x1
2 Pd 0.0000 0.0000 0.5000 x3
3 N 0.5000 0.5000 0.5000 x1



[6]
The following is a GGA-PBEsol calculation of SnTePdN2 after structural relaxation, from Alexandria via LeMat-Bulk.

Cell: 4.0222 4.0222 6.0835 Å, 90.00 90.00 90.00°
Space group P4/mmm (No. 123)
Inequivalent atoms, fractional coordinates:
1 Sn 0.0000 0.0000 0.0000 x1
2 Te 0.0000 0.0000 0.5000 x1
3 Pd 0.5000 0.5000 0.5000 x1
4 N 0.0000 0.5000 0.0000 x2



[7]
The following is a GGA-PBEsol calculation of TaTe2PdN after structural relaxation, from Alexandria via LeMat-Bulk.

Cell: 5.4184 5.4184 3.8143 Å, 90.00 90.00 90.00°
Space group P4/mmm (No. 123)
Inequivalent atoms, fractional coordinates:
1 Ta 0.0000 0.0000 0.0000 x1
2 Te 0.0000 0.5000 0.0000 x2
3 Pd 0.5000 0.5000 0.5000 x1
4 N 0.0000 0.0000 0.5000 x1



[8]
The following is a GGA-PBEsol calculation of TcPdN2 after structural relaxation, from Alexandria via LeMat-Bulk.

Cell: 4.6591 4.6591 9.0302 Å, 90.00 90.00 90.00°
Space group I-42d (No. 122)
Inequivalent atoms, fractional coordinates:
1 Tc 0.0000 0.0000 0.0000 x4
2 Pd 0.0000 0.0000 0.5000 x4
3 N 0.2046 0.2500 0.1250 x8



Total energy, record by record: -6.048 -5.746 -6.027 -6.776 -5.229 -4.866 -6.515 -8.448 eV per atom
Magnetization, record by record: 1.9 3.9 0.0 0.0 1.8 3.0 0.0 0.0 μB/cell
Energy relative to the elements, uncorrected, record by record: 0.90 0.99 0.23 0.68 1.20 1.29 0.30 0.12 eV per atom